VASP calculation (PBE with a Hubbard U) on K2PaMn2O6 after structural relaxation.

Results
Theoretical density in g/cm³: 4.4
E_tot in eV per atom: -7.25

Geometry as CIF:
```
data_K2PaMn2O6
_chemical_formula_sum 'K2 Pa1 Mn2 O6'
_symmetry_space_group_name_H-M 'P 1'
_symmetry_Int_Tables_number 1
_cell_length_a 6.1258
_cell_length_b 6.1573
_cell_length_c 6.7157
_cell_angle_alpha 113.62
_cell_angle_beta 90.00
_cell_angle_gamma 119.83
loop_
_symmetry_equiv_pos_as_xyz
'x,y,z'
loop_
_atom_site_label
_atom_site_type_symbol
_atom_site_fract_x
_atom_site_fract_y
_atom_site_fract_z
K1 K 0.2943 0.5887 0.8622
K2 K 0.7057 0.4113 0.1378
O1 O 0.2894 0.0789 0.7581
O2 O 0.7233 0.4466 0.5996
O3 O 0.2105 0.9211 0.2419
O4 O 0.7106 0.9211 0.2419
O5 O 0.7895 0.0789 0.7581
O6 O 0.2767 0.5534 0.4004
Mn1 Mn 0.0780 0.1561 0.2899
Mn2 Mn 0.9220 0.8439 0.7101
Pa1 Pa 0.5000 0.0000 0.5000
```